1.
Here is PaGaH after structural relaxation from the Alexandria database. Energies are from PBE.

Lattice parameters (Å, degrees): 4.117 4.430 4.117 62.31 90.00 117.69
Site moments in Bohr magnetons follow the coordinates.
Fractional coordinates of all 3 atoms:
H 0.743 0.486 0.257  0.00
Pa 0.414 0.827 0.586  0.79
Ga 0.993 0.987 0.007  0.00

Computed properties:
- Space-group type: I4mm
- V: 56.6 Å³ per cell
- Distance to the lowest polymorph of the same formula: 0.725 eV/atom

=====

2.
Here is CdS4 after structural relaxation from the Alexandria database. Energies are from PBE.

Lattice parameters (Å, degrees): 5.084 4.684 6.762 91.55 86.45 129.15
Fractional coordinates of all 5 atoms:
Cd 0.000 0.000 0.000
S 0.339 0.624 0.821
S 0.661 0.376 0.179
S 0.319 0.542 0.523
S 0.681 0.458 0.477

Computed properties:
- Space-group type: P-1
- V: 124.6 Å³ per cell
- Formation energy from raw total energies: -22 meV per atom
- Distance to the lowest polymorph of the same formula: 0.000 eV/atom

=====

3.
Here is Li2ReRu after structural relaxation from the Alexandria database. Energies are from PBE.

Lattice parameters (Å, degrees): 2.964 2.964 6.843 90.00 90.00 90.00
Fractional coordinates of all 4 atoms:
Li 0.000 0.000 0.991
Li 0.500 0.500 0.253
Re 0.000 0.000 0.526
Ru 0.500 0.500 0.730

Computed properties:
- Space-group type: P4mm
- V: 60.1 Å³ per cell
- Distance to the lowest polymorph of the same formula: 0.059 eV/atom
- DFT formation energy: 0.21 eV per atom